[1]
# PBE La2Ag4S5, relaxed
# Formation energy without anion corrections   -843 meV per atom
# Total energy   -4.6522 eV per atom
# ρ   5.44 g/cm3
data_La2Ag4S5
_cell_length_a 4.1938
_cell_length_b 4.1938
_cell_length_c 52.2462
_cell_angle_alpha 90.00
_cell_angle_beta 90.00
_cell_angle_gamma 120.00
_symmetry_space_group_name_H-M 'R -3 m'
_symmetry_Int_Tables_number 166
_symmetry_space_group_name_Hall '-R 3 2"'
loop_
_atom_site_label
_atom_site_fract_x
_atom_site_fract_y
_atom_site_fract_z
La1 0.0000 0.0000 0.1335
Ag1 0.0000 0.0000 0.3070
Ag2 0.0000 0.0000 0.4136
S1 0.0000 0.0000 0.2296
S2 0.0000 0.0000 0.3665
S3 0.0000 0.0000 0.5000



[2]
# PBE Dy3NiTe, relaxed
# ΔE to the lowest computed polymorph   82 meV/atom
# Formation energy without anion corrections   -632 meV per atom
# Total energy   -5.1778 eV per atom
# ρ   8.69 g/cm3
data_Dy3NiTe
_cell_length_a 12.329
_cell_length_b 3.926
_cell_length_c 10.830
_cell_angle_alpha 90.00
_cell_angle_beta 100.86
_cell_angle_gamma 90.00
_symmetry_space_group_name_H-M 'C 1 2/m 1'
_symmetry_Int_Tables_number 12
_symmetry_space_group_name_Hall '-C 2y'
loop_
_atom_site_label
_atom_site_fract_x
_atom_site_fract_y
_atom_site_fract_z
Dy1 0.038 0.000 0.367
Dy2 0.105 0.500 0.885
Dy3 0.239 0.000 0.661
Ni1 0.098 0.500 0.562
Te1 0.130 0.000 0.118



[3]
# PBE SmY2HoTl2, relaxed
# Formation energy   -0.289 eV per atom
# Total energy   -4.7815 eV per atom
# ρ   8.50 g/cm3
data_SmY2HoTl2
_cell_length_a 5.111
_cell_length_b 10.008
_cell_length_c 6.888
_cell_angle_alpha 90.00
_cell_angle_beta 90.00
_cell_angle_gamma 90.00
_symmetry_space_group_name_H-M 'P m c 21'
_symmetry_Int_Tables_number 26
_symmetry_space_group_name_Hall 'P 2c -2'
loop_
_atom_site_label
_atom_site_fract_x
_atom_site_fract_y
_atom_site_fract_z
Sm1 0.000 0.045 0.000
Y1 0.000 0.315 0.381
Y2 0.500 0.454 0.095
Ho1 0.500 0.191 0.718
Tl1 0.000 0.368 0.839
Tl2 0.500 0.133 0.261



[4]
# PBE Cu2ReAg, relaxed
# ΔE to the lowest computed polymorph   169 meV/atom
# Formation energy   0.431 eV per atom
# Total energy   -5.4420 eV per atom
# ρ   12.34 g/cm3
data_Cu2ReAg
_cell_length_a 4.252
_cell_length_b 2.620
_cell_length_c 10.174
_cell_angle_alpha 90.00
_cell_angle_beta 90.00
_cell_angle_gamma 90.00
_symmetry_space_group_name_H-M 'A m m 2'
_symmetry_Int_Tables_number 38
_symmetry_space_group_name_Hall 'A 2 -2'
loop_
_atom_site_label
_atom_site_fract_x
_atom_site_fract_y
_atom_site_fract_z
Cu1 0.000 0.000 0.000
Cu2 0.500 0.000 0.138
Re1 0.000 0.000 0.732
Ag1 0.500 0.000 0.393



[5]
# PBE CaAlHg, relaxed
# ΔE to the lowest computed polymorph   0 meV/atom
# Formation energy   -0.417 eV per atom
# Total energy   -2.4324 eV per atom
# ρ   6.20 g/cm3
data_CaAlHg
_cell_length_a 4.708
_cell_length_b 7.440
_cell_length_c 8.186
_cell_angle_alpha 90.00
_cell_angle_beta 90.00
_cell_angle_gamma 90.00
_symmetry_space_group_name_H-M 'I m m 2'
_symmetry_Int_Tables_number 44
_symmetry_space_group_name_Hall 'I 2 -2'
loop_
_atom_site_label
_atom_site_fract_x
_atom_site_fract_y
_atom_site_fract_z
Ca1 0.000 0.000 0.000
Ca2 0.000 0.500 0.068
Al1 0.000 0.312 0.704
Hg1 0.000 0.227 0.373



[6]
# PBE Ca3Pb7, relaxed
# Formation energy   -0.343 eV per atom
# Total energy   -3.5391 eV per atom
# ρ   8.60 g/cm3
data_Ca3Pb7
_cell_length_a 18.368
_cell_length_b 4.885
_cell_length_c 6.952
_cell_angle_alpha 90.00
_cell_angle_beta 103.63
_cell_angle_gamma 90.00
_symmetry_space_group_name_H-M 'C 1 2/m 1'
_symmetry_Int_Tables_number 12
_symmetry_space_group_name_Hall '-C 2y'
loop_
_atom_site_label
_atom_site_fract_x
_atom_site_fract_y
_atom_site_fract_z
Ca1 0.000 0.000 0.000
Ca2 0.190 0.000 0.611
Pb1 0.000 0.000 0.500
Pb2 0.098 0.500 0.817
Pb3 0.103 0.500 0.302
Pb4 0.204 0.000 0.114